# MnNiBr2 (GGA-PBE, relaxed)
data_MnNiBr2
_chemical_formula_sum 'Mn1 Ni1 Br2'
_cell_length_a 6.662
_cell_length_b 6.662
_cell_length_c 6.662
_cell_angle_alpha 148.19
_cell_angle_beta 148.19
_cell_angle_gamma 45.60
_symmetry_space_group_name_H-M 'P 1'
_symmetry_Int_Tables_number 1
loop_
_symmetry_equiv_pos_as_xyz
'x,y,z'
loop_
_atom_site_label
_atom_site_type_symbol
_atom_site_fract_x
_atom_site_fract_y
_atom_site_fract_z
Br1 Br 0.000 0.000 0.000
Br2 Br 0.250 0.750 0.500
Mn1 Mn 0.500 0.500 0.000
Ni1 Ni 0.750 0.250 0.500
# Energy relative to the elements, uncorrected = 0.267 eV/atom
# Relative energy among the computed polymorphs = 0.4764 eV per atom
# Final energy = -4.31 eV per atom

# KTlBrCl2 (GGA-PBE, relaxed)
data_KTlBrCl2
_chemical_formula_sum 'K1 Tl1 Br1 Cl2'
_cell_length_a 5.560
_cell_length_b 5.560
_cell_length_c 5.764
_cell_angle_alpha 90.00
_cell_angle_beta 90.00
_cell_angle_gamma 90.00
_symmetry_space_group_name_H-M 'P 1'
_symmetry_Int_Tables_number 1
loop_
_symmetry_equiv_pos_as_xyz
'x,y,z'
loop_
_atom_site_label
_atom_site_type_symbol
_atom_site_fract_x
_atom_site_fract_y
_atom_site_fract_z
K1 K 0.500 0.500 0.500
Cl1 Cl 0.500 0.000 0.000
Cl2 Cl 0.000 0.500 0.000
Tl1 Tl 0.000 0.000 0.000
Br1 Br 0.000 0.000 0.500
# Energy relative to the elements, uncorrected = -1.131 eV/atom
# Final energy = -2.90 eV per atom

# Rb2PaI4F2 (GGA-PBE, relaxed)
data_Rb2PaI4F2
_chemical_formula_sum 'Rb2 Pa1 I4 F2'
_cell_length_a 6.410
_cell_length_b 7.906
_cell_length_c 7.906
_cell_angle_alpha 67.74
_cell_angle_beta 80.75
_cell_angle_gamma 80.75
_symmetry_space_group_name_H-M 'P 1'
_symmetry_Int_Tables_number 1
loop_
_symmetry_equiv_pos_as_xyz
'x,y,z'
loop_
_atom_site_label
_atom_site_type_symbol
_atom_site_fract_x
_atom_site_fract_y
_atom_site_fract_z
I1 I 0.710 0.849 0.364
I2 I 0.710 0.364 0.849
I3 I 0.290 0.151 0.636
I4 I 0.290 0.636 0.151
Rb1 Rb 0.828 0.324 0.324
Rb2 Rb 0.172 0.676 0.676
F1 F 0.244 0.127 0.127
F2 F 0.756 0.873 0.873
Pa1 Pa 0.500 0.000 0.000
# Energy relative to the elements, uncorrected = -1.969 eV/atom
# Final energy = -4.34 eV per atom

# MgMoPd2N (GGA-PBE, relaxed)
data_MgMoPd2N
_chemical_formula_sum 'Mg1 Mo1 Pd2 N1'
_cell_length_a 4.281
_cell_length_b 4.035
_cell_length_c 4.281
_cell_angle_alpha 90.00
_cell_angle_beta 90.00
_cell_angle_gamma 90.00
_symmetry_space_group_name_H-M 'P 1'
_symmetry_Int_Tables_number 1
loop_
_symmetry_equiv_pos_as_xyz
'x,y,z'
loop_
_atom_site_label
_atom_site_type_symbol
_atom_site_fract_x
_atom_site_fract_y
_atom_site_fract_z
Pd1 Pd 0.000 0.000 0.500
Pd2 Pd 0.500 0.000 0.000
N1 N 0.000 0.000 0.000
Mo1 Mo 0.500 0.500 0.500
Mg1 Mg 0.000 0.500 0.000
# Energy relative to the elements, uncorrected = 0.460 eV/atom
# Final energy = -5.77 eV per atom